! SiTc2Pb | Alexandria via LeMat-Bulk | GGA-PBEsol | relaxed; values from VASP
! E_form (uncorrected)	231	meV per atom
! E above lowest polymorph	0.000	eV/atom
! total moment	0.00	Bohr magnetons per cell
! D(E_F)	3.1	states/eV per cell
! symmetry	P4mm
! E	-7.8382	eV/atom
&SYSTEM
  ibrav = 0, nat = 4, ntyp = 3
/
ATOMIC_SPECIES
Pb 207.20 Pb.upf
Si 28.09 Si.upf
Tc 98.00 Tc.upf
CELL_PARAMETERS angstrom
3.194 0.000 0.000
0.000 3.194 0.000
0.000 0.000 6.367
ATOMIC_POSITIONS angstrom
Pb 0.000 0.000 3.135
Si 1.597 1.597 5.209
Tc 0.000 0.000 6.124
Tc 1.597 1.597 1.451